Record 1
This record from the Alexandria database describes a relaxed Li2BeNi crystal. The functional is GGA-PBE.

Cell: 3.948 3.948 3.948 Å, 119.68 119.68 90.55°
Fractional positions:
Li  0.000  0.000  0.000
Li  0.750  0.250  0.500
Be  0.500  0.500  0.000
Ni  0.250  0.750  0.500

Output
DFT total energy in eV per atom: -3.30
M_tot in μB/f.u.: 0.0
Formation energy from the elements in meV per atom: 32
Fermi-level density of states in states/eV/f.u.: 1.13

---

Record 2
This record from the Alexandria database describes a relaxed La2TbTm3Te6 crystal. The functional is GGA-PBE.

Cell: 9.917 9.917 8.932 Å, 104.77 104.77 25.35°
Fractional positions:
La  0.167  0.167  0.333
La  0.833  0.833  0.667
Tb  0.500  0.500  0.000
Tm  0.171  0.171  0.835
Tm  0.500  0.500  0.500
Tm  0.829  0.829  0.165
Te  0.006  0.006  0.749
Te  0.334  0.334  0.932
Te  0.339  0.339  0.405
Te  0.661  0.661  0.595
Te  0.666  0.666  0.068
Te  0.994  0.994  0.251

Output
Formation energy (no corrections) in eV per atom: -1.34
DFT total energy in eV per atom: -5.23
M_tot in μB/f.u.: 0.0
Fermi-level density of states in states/eV/f.u.: 6.55